Record 1
# Mg3Al3Cd | Alexandria | PBE | relaxed
# M_tot ... 0.00 μB per formula unit
# DFT formation energy ... -8 meV/atom
data_Mg3Al3Cd
_cell_length_a 8.0018
_cell_length_b 8.0018
_cell_length_c 4.9701
_cell_angle_alpha 90.00
_cell_angle_beta 90.00
_cell_angle_gamma 120.00
_space_group_name_H-M_alt 'P 63/m'
_space_group_IT_number 176
_space_group_name_Hall '-P 6c'
loop_
_atom_site_label
_atom_site_fract_x
_atom_site_fract_y
_atom_site_fract_z
_atom_site_occupancy
Mg1 0.0934 0.6302 0.2500 1
Al1 0.0449 0.8232 0.7500 1
Cd1 0.3333 0.6667 0.7500 1

---

Record 2
# Mg6AlCd8 | Alexandria | PBE | relaxed
# M_tot ... 0.00 μB per formula unit
# DFT formation energy ... -4 meV/atom
data_Mg6AlCd8
_cell_length_a 8.4200
_cell_length_b 8.4200
_cell_length_c 16.7234
_cell_angle_alpha 90.00
_cell_angle_beta 90.00
_cell_angle_gamma 120.00
_space_group_name_H-M_alt 'R -3'
_space_group_IT_number 148
_space_group_name_Hall '-R 3'
loop_
_atom_site_label
_atom_site_fract_x
_atom_site_fract_y
_atom_site_fract_z
_atom_site_occupancy
Mg1 0.0259 0.2405 0.4088 1
Al1 0.0000 0.0000 0.0000 1
Cd1 0.0000 0.0000 0.2642 1
Cd2 0.0381 0.2748 0.8993 1

---

Record 3
# MgAl2Cd2 | Alexandria | PBE | relaxed
# M_tot ... 0.00 μB per formula unit
# DFT formation energy ... 156 meV/atom
# Polymorph energy (0 for the lowest one) ... 46.2 meV per atom
data_MgAl2Cd2
_cell_length_a 4.2525
_cell_length_b 4.2525
_cell_length_c 12.3603
_cell_angle_alpha 90.00
_cell_angle_beta 90.00
_cell_angle_gamma 90.00
_space_group_name_H-M_alt 'I 4/m m m'
_space_group_IT_number 139
_space_group_name_Hall '-I 4 2'
loop_
_atom_site_label
_atom_site_fract_x
_atom_site_fract_y
_atom_site_fract_z
_atom_site_occupancy
Mg1 0.0000 0.0000 0.0000 1
Al1 0.0000 0.0000 0.3989 1
Cd1 0.0000 0.5000 0.2500 1

---

Record 4
# Mg2AlCd2 | Alexandria | PBE | relaxed
# M_tot ... 0.00 μB per formula unit
# DFT formation energy ... 58 meV/atom
# Polymorph energy (0 for the lowest one) ... 0.0 meV per atom
data_Mg2AlCd2
_cell_length_a 7.1570
_cell_length_b 7.1570
_cell_length_c 4.3478
_cell_angle_alpha 90.00
_cell_angle_beta 90.00
_cell_angle_gamma 90.00
_space_group_name_H-M_alt 'P 4/m b m'
_space_group_IT_number 127
_space_group_name_Hall '-P 4 2ab'
loop_
_atom_site_label
_atom_site_fract_x
_atom_site_fract_y
_atom_site_fract_z
_atom_site_occupancy
Mg1 0.1643 0.3357 0.0000 1
Al1 0.0000 0.0000 0.5000 1
Cd1 0.1412 0.6412 0.5000 1